No. 1
## Ir3Pt (GGA-PBEsol)

Data for a geometry-optimized Ir3Pt structure.

Structure (extended XYZ):
```
24
Lattice="5.435 0.000 0.000 0.000 13.371 0.000 0.000 0.000 4.719" Properties=species:S:1:pos:R:3 pbc="T T T"
Ir 0.006 1.101 0.785
Ir 0.006 5.585 0.785
Ir 0.013 10.028 2.372
Ir 1.359 1.094 3.137
Ir 1.359 5.591 3.137
Ir 1.359 10.028 4.711
Ir 2.704 10.028 2.372
Ir 2.711 1.101 0.785
Ir 2.711 5.585 0.785
Ir 2.724 7.787 3.934
Ir 2.724 12.270 3.934
Ir 2.731 3.343 2.348
Ir 4.076 3.343 0.008
Ir 4.076 7.780 1.582
Ir 4.076 12.277 1.582
Ir 5.422 3.343 2.348
Ir 5.429 7.787 3.934
Ir 5.429 12.270 3.934
Pt 1.359 3.343 4.690
Pt 1.359 7.798 1.569
Pt 1.359 12.259 1.569
Pt 4.076 1.112 3.150
Pt 4.076 5.573 3.150
Pt 4.076 10.028 0.029
```

Summary:
The space-group type is Pmmn. For the formation enthalpy at 0 K, the calculation gives 0.35 eV per formula unit.

***

No. 2
## IrPt (GGA-PBEsol)

Data for a geometry-optimized IrPt structure.

Structure (extended XYZ):
```
4
Lattice="4.525 -1.376 0.000 4.525 1.376 0.000 -0.824 0.000 4.663" Properties=species:S:1:pos:R:3 pbc="T T T"
Ir 0.848 0.000 1.789
Ir 7.379 0.000 2.873
Pt 3.313 0.000 0.590
Pt 4.914 0.000 4.073
```

Summary:
The space-group type is C2/m. For the formation enthalpy at 0 K, the calculation gives 0.12 eV per formula unit.

***

No. 3
## IrPt (GGA-PBEsol)

Data for a geometry-optimized IrPt structure.

Structure (extended XYZ):
```
4
Lattice="2.723 0.000 0.000 -1.362 2.358 0.000 0.000 0.000 9.113" Properties=species:S:1:pos:R:3 pbc="T T T"
Ir 0.000 1.572 3.480
Ir 1.362 0.786 5.633
Pt 0.000 1.572 7.926
Pt 1.362 0.786 1.187
```

Summary:
The space-group type is P-3m1. For the formation enthalpy at 0 K, the calculation gives 0.19 eV per formula unit.

***

No. 4
## Ir3Pt (GGA-PBEsol)

Data for a geometry-optimized Ir3Pt structure.

Structure (extended XYZ):
```
4
Lattice="2.727 0.000 0.000 0.000 3.846 0.000 0.000 0.000 5.445" Properties=species:S:1:pos:R:3 pbc="T T T"
Ir 0.000 0.000 0.000
Ir 1.364 1.923 1.330
Ir 1.364 1.923 4.115
Pt 0.000 0.000 2.722
```

Summary:
The space-group type is Pmmm. For the formation enthalpy at 0 K, the calculation gives 0.21 eV per formula unit.

***

No. 5
## IrPt7 (GGA-PBEsol)

Data for a geometry-optimized IrPt7 structure.

Structure (extended XYZ):
```
8
Lattice="0.000 3.903 3.903 3.903 0.000 3.903 3.903 3.903 0.000" Properties=species:S:1:pos:R:3 pbc="T T T"
Ir 0.000 0.000 0.000
Pt 1.951 1.951 0.000
Pt 1.951 0.000 1.951
Pt 3.903 1.951 1.951
Pt 0.000 1.951 1.951
Pt 1.951 3.903 1.951
Pt 1.951 1.951 3.903
Pt 3.903 3.903 3.903
```

Summary:
The space-group type is Fm-3m. For the formation enthalpy at 0 K, the calculation gives 0.31 eV per formula unit.

***

No. 6
## IrPt (GGA-PBEsol)

Data for a geometry-optimized IrPt structure.

Structure (extended XYZ):
```
4
Lattice="2.732 0.000 0.000 0.000 2.732 0.000 0.000 0.000 7.795" Properties=species:S:1:pos:R:3 pbc="T T T"
Ir 0.683 0.683 0.905
Ir 2.049 2.049 6.891
Pt 0.683 0.683 4.928
Pt 2.049 2.049 2.867
```

Summary:
The space-group type is P4/nmm. For the formation enthalpy at 0 K, the calculation gives 0.03 eV per formula unit.

***

No. 7
## IrPt (GGA-PBEsol)

Data for a geometry-optimized IrPt structure.

Structure (extended XYZ):
```
2
Lattice="1.375 0.794 4.426 -1.375 0.794 4.426 0.000 -1.588 4.426" Properties=species:S:1:pos:R:3 pbc="T T T"
Ir 0.000 0.000 0.000
Pt 0.000 0.000 6.639
```

Summary:
The space-group type is R-3m. For the formation enthalpy at 0 K, the calculation gives 0.17 eV per formula unit.

***

No. 8
## Ir8Pt (GGA-PBEsol)

Data for a geometry-optimized Ir8Pt structure.

Structure (extended XYZ):
```
9
Lattice="-4.076 4.076 1.916 4.076 -4.076 1.916 4.076 4.076 -1.916" Properties=species:S:1:pos:R:3 pbc="T T T"
Ir 2.737 0.000 0.000
Ir 5.416 0.000 0.000
Ir 2.695 2.695 0.000
Ir 1.381 -1.381 1.916
Ir 0.000 2.737 0.000
Ir 0.000 5.416 0.000
Ir -1.381 1.381 1.916
Ir 1.381 1.381 1.916
Pt 0.000 0.000 0.000
```

Summary:
The space-group type is I4/mmm. For the formation enthalpy at 0 K, the calculation gives 0.24 eV per formula unit.

***

no.,D(E_F) (states/eV per cell)
1,25.78
2,4.55
3,4.26
4,4.12
5,13.67
6,3.73
7,2.67
8,8.22